No. 1
Compound: LiCuTc
Source: the Alexandria database
Functional: meta-GGA SCAN
Structure: PBEsol geometry

a = 5.399 Å, b = 5.399 Å, c = 5.399 Å
α = 90.00°, β = 90.00°, γ = 90.00°
Fractional positions:
Li  0.000  0.000  0.000
Li  0.000  0.500  0.500
Li  0.500  0.000  0.500
Li  0.500  0.500  0.000
Cu  0.250  0.250  0.750
Cu  0.250  0.750  0.250
Cu  0.750  0.250  0.250
Cu  0.750  0.750  0.750
Tc  0.250  0.250  0.250
Tc  0.250  0.750  0.750
Tc  0.750  0.250  0.750
Tc  0.750  0.750  0.250

Energy relative to the elements ... 1.0937 eV/atom
Energy ... -197.5 eV/cell

No. 2
Compound: Sb2PbCl
Source: the Alexandria database
Functional: meta-GGA SCAN
Structure: PBEsol geometry

a = 7.378 Å, b = 7.378 Å, c = 7.378 Å
α = 90.00°, β = 90.00°, γ = 90.00°
Fractional positions:
Sb  0.250  0.250  0.250
Sb  0.250  0.250  0.750
Sb  0.250  0.750  0.250
Sb  0.250  0.750  0.750
Sb  0.750  0.250  0.250
Sb  0.750  0.250  0.750
Sb  0.750  0.750  0.250
Sb  0.750  0.750  0.750
Pb  0.000  0.000  0.000
Pb  0.000  0.500  0.500
Pb  0.500  0.000  0.500
Pb  0.500  0.500  0.000
Cl  0.000  0.000  0.500
Cl  0.000  0.500  0.000
Cl  0.500  0.000  0.000
Cl  0.500  0.500  0.500

Energy ... -632.3 eV/cell
ΔE to the lowest computed polymorph ... 0.254 eV/atom

No. 3
Compound: HfTc2
Source: the Alexandria database
Functional: meta-GGA SCAN
Structure: PBEsol geometry

a = 5.142 Å, b = 5.142 Å, c = 8.565 Å
α = 90.00°, β = 90.00°, γ = 120.00°
Fractional positions:
Hf  0.333  0.667  0.063
Hf  0.333  0.667  0.437
Hf  0.667  0.333  0.563
Hf  0.667  0.333  0.937
Tc  0.000  0.000  0.000
Tc  0.000  0.000  0.500
Tc  0.172  0.344  0.750
Tc  0.172  0.828  0.750
Tc  0.344  0.172  0.250
Tc  0.656  0.828  0.750
Tc  0.828  0.172  0.250
Tc  0.828  0.656  0.250

Energy relative to the elements ... -0.4424 eV/atom
Energy ... -536.5 eV/cell

No. 4
Compound: Hg2IrPd
Source: the Alexandria database
Functional: meta-GGA SCAN
Structure: PBEsol geometry

a = 6.455 Å, b = 6.455 Å, c = 6.455 Å
α = 90.00°, β = 90.00°, γ = 90.00°
Fractional positions:
Hg  0.250  0.250  0.250
Hg  0.250  0.250  0.750
Hg  0.250  0.750  0.250
Hg  0.250  0.750  0.750
Hg  0.750  0.250  0.250
Hg  0.750  0.250  0.750
Hg  0.750  0.750  0.250
Hg  0.750  0.750  0.750
Ir  0.000  0.000  0.000
Ir  0.000  0.500  0.500
Ir  0.500  0.000  0.500
Ir  0.500  0.500  0.000
Pd  0.000  0.000  0.500
Pd  0.000  0.500  0.000
Pd  0.500  0.000  0.000
Pd  0.500  0.500  0.500

Energy relative to the elements ... 0.3161 eV/atom
Energy ... -955.8 eV/cell

No. 5
Compound: BaYRh2
Source: the Alexandria database
Functional: meta-GGA SCAN
Structure: PBEsol geometry

a = 3.434 Å, b = 3.434 Å, c = 7.508 Å
α = 90.00°, β = 90.00°, γ = 90.00°
Fractional positions:
Ba  0.000  0.000  0.000
Y  0.000  0.000  0.500
Rh  0.500  0.500  0.295
Rh  0.500  0.500  0.705

Energy relative to the elements ... -0.4216 eV/atom
Energy ... -136.6 eV/cell

No. 6
Compound: Ca3Br
Source: the Alexandria database
Functional: meta-GGA SCAN
Structure: PBEsol geometry

a = 3.856 Å, b = 3.856 Å, c = 10.615 Å
α = 90.00°, β = 90.00°, γ = 120.00°
Fractional positions:
Ca  0.000  0.000  0.000
Ca  0.333  0.667  0.288
Ca  0.333  0.667  0.712
Br  0.000  0.000  0.500

Energy ... -51.4 eV/cell
ΔE to the lowest computed polymorph ... 0.021 eV/atom

No. 7
Compound: Tl2PtCl
Source: the Alexandria database
Functional: meta-GGA SCAN
Structure: PBEsol geometry

a = 3.968 Å, b = 3.968 Å, c = 12.020 Å
α = 90.00°, β = 90.00°, γ = 90.00°
Fractional positions:
Tl  0.000  0.000  0.000
Tl  0.000  0.500  0.250
Tl  0.500  0.000  0.750
Tl  0.500  0.500  0.500
Pt  0.000  0.500  0.750
Pt  0.500  0.000  0.250
Cl  0.000  0.000  0.500
Cl  0.500  0.500  0.000

Energy ... -446.5 eV/cell
ΔE to the lowest computed polymorph ... 0.254 eV/atom

No. 8
Compound: ZrTaMn
Source: the Alexandria database
Functional: meta-GGA SCAN
Structure: PBEsol geometry

a = 4.315 Å, b = 4.315 Å, c = 3.042 Å
α = 90.00°, β = 90.00°, γ = 120.00°
Fractional positions:
Zr  0.000  0.000  0.000
Ta  0.333  0.667  0.592
Mn  0.667  0.333  0.321

Energy relative to the elements ... 0.1488 eV/atom
Energy ... -115.1 eV/cell
ΔE to the lowest computed polymorph ... 0.213 eV/atom